Record 1
## NdHoTmZr (PBE)

Data for an optimized crystal structure of NdHoTmZr.

- uncorrected energy (eV/atom) = -5.375
- symmetry = F-43m (216)
- energy relative to the elements (eV per atom) = 0.22
- magnetization (μB per atom) = 0.3350

Lattice parameters (Å, degrees): 5.4989 5.4989 5.4989 60.00 60.00 60.00
Element x y z (fractional)
Nd (0.0000, 0.0000, 0.0000)
Ho (0.7500, 0.7500, 0.7500)
Tm (0.2500, 0.2500, 0.2500)
Zr (0.5000, 0.5000, 0.5000)


Record 2
## Li3U2CrN6 (PBE)

Data for an optimized crystal structure of Li3U2CrN6.

- energy relative to the elements, uncorrected (eV/atom) = -0.932
- uncorrected energy (eV/atom) = -8.256
- symmetry = C2/m (12)
- magnetization (μB per atom) = 0.2526

Lattice parameters (Å, degrees): 6.8409 6.8409 5.8197 93.83 93.83 28.35
Element x y z (fractional)
Li (0.0000, 0.0000, 0.0000)
Li (0.3784, 0.3784, 0.7515)
Li (0.6216, 0.6216, 0.2485)
U (0.3196, 0.3196, 0.2436)
U (0.6804, 0.6804, 0.7564)
Cr (0.0000, 0.0000, 0.5000)
N (0.1572, 0.1572, 0.5058)
N (0.1703, 0.1703, 0.0052)
N (0.4774, 0.4774, 0.2737)
N (0.5226, 0.5226, 0.7263)
N (0.8297, 0.8297, 0.9948)
N (0.8428, 0.8428, 0.4942)


Record 3
## LiIn2Rh (PBE)

Data for an optimized crystal structure of LiIn2Rh.

- ΔE to the lowest computed polymorph (meV/atom) = 180
- uncorrected energy (eV/atom) = -3.923
- symmetry = Pmm2 (25)
- energy relative to the elements (eV per atom) = -0.24
- magnetization (μB per atom) = 0.0000

Lattice parameters (Å, degrees): 3.2928 3.8273 5.8196 90.00 90.00 90.00
Element x y z (fractional)
Li (0.0000, 0.0000, 0.0000)
In (0.0000, 0.0000, 0.4446)
In (0.5000, 0.5000, 0.7705)
Rh (0.5000, 0.5000, 0.2457)


Record 4
## ScSi2Os2 (PBE)

Data for an optimized crystal structure of ScSi2Os2.

- energy relative to the elements, uncorrected (eV/atom) = -0.519
- uncorrected energy (eV/atom) = -8.446
- symmetry = C2/c (15)
- magnetization (μB per atom) = 0.0000

Lattice parameters (Å, degrees): 5.6117 5.6117 7.1354 99.35 99.35 125.82
Element x y z (fractional)
Sc (0.1235, 0.8765, 0.7500)
Sc (0.8765, 0.1235, 0.2500)
Si (0.1869, 0.8131, 0.2500)
Si (0.4369, 0.5631, 0.7500)
Si (0.5631, 0.4369, 0.2500)
Si (0.8131, 0.1869, 0.7500)
Os (0.2630, 0.5130, 0.0275)
Os (0.4870, 0.7370, 0.4725)
Os (0.5130, 0.2630, 0.5275)
Os (0.7370, 0.4870, 0.9725)


Record 5
## SbOs2 (PBE)

Data for an optimized crystal structure of SbOs2.

- energy relative to the elements, uncorrected (eV/atom) = 0.655
- uncorrected energy (eV/atom) = -8.205
- symmetry = P-3m1 (164)
- magnetization (μB per atom) = 0.0000

Lattice parameters (Å, degrees): 2.9865 2.9865 6.4584 90.00 90.00 120.00
Element x y z (fractional)
Sb (0.0000, 0.0000, 0.0000)
Os (0.3333, 0.6667, 0.3431)
Os (0.6667, 0.3333, 0.6569)


Record 6
## SrTbZnIr (PBE)

Data for an optimized crystal structure of SrTbZnIr.

- uncorrected energy (eV/atom) = -4.385
- symmetry = F-43m (216)
- energy relative to the elements (eV per atom) = -0.27
- magnetization (μB per atom) = 0.0000

Lattice parameters (Å, degrees): 5.0741 5.0741 5.0741 60.00 60.00 60.00
Element x y z (fractional)
Sr (0.0000, 0.0000, 0.0000)
Tb (0.5000, 0.5000, 0.5000)
Zn (0.7500, 0.7500, 0.7500)
Ir (0.2500, 0.2500, 0.2500)


Record 7
## HfMn2Tl2S4 (PBE)

Data for an optimized crystal structure of HfMn2Tl2S4.

- energy relative to the elements, uncorrected (eV/atom) = -0.732
- uncorrected energy (eV/atom) = -6.236
- symmetry = C2/m (12)
- magnetization (μB per atom) = 0.8759

Lattice parameters (Å, degrees): 7.4077 7.4077 7.7165 107.84 107.84 29.30
Element x y z (fractional)
Hf (0.0000, 0.0000, 0.0000)
Mn (0.3298, 0.3298, 0.0469)
Mn (0.6702, 0.6702, 0.9531)
Tl (0.1453, 0.1453, 0.5672)
Tl (0.8547, 0.8547, 0.4328)
S (0.1884, 0.1884, 0.1559)
S (0.4934, 0.4934, 0.2287)
S (0.5066, 0.5066, 0.7713)
S (0.8116, 0.8116, 0.8441)


Record 8
## YBeIn2 (PBE)

Data for an optimized crystal structure of YBeIn2.

- uncorrected energy (eV/atom) = -3.857
- symmetry = Cmm2 (35)
- energy relative to the elements (eV per atom) = 0.06
- magnetization (μB per atom) = 0.1091

Lattice parameters (Å, degrees): 3.4286 3.4286 7.6590 90.00 90.00 96.19
Element x y z (fractional)
Y (0.0000, 0.0000, 0.0000)
Be (0.5000, 0.5000, 0.2369)
In (0.0000, 0.0000, 0.4172)
In (0.5000, 0.5000, 0.6967)


Record 9
## NiHg2Te (PBE)

Data for an optimized crystal structure of NiHg2Te.

- energy relative to the elements, uncorrected (eV/atom) = 0.407
- uncorrected energy (eV/atom) = -1.975
- symmetry = I-4m2 (119)
- magnetization (μB per atom) = 0.0000

Lattice parameters (Å, degrees): 5.3178 5.3178 5.3178 129.96 129.96 73.47
Element x y z (fractional)
Ni (0.0000, 0.0000, 0.0000)
Hg (0.5000, 0.5000, 0.0000)
Hg (0.7500, 0.2500, 0.5000)
Te (0.2500, 0.7500, 0.5000)


Record 10
## RbSbO3 (PBE)

Data for an optimized crystal structure of RbSbO3.

- energy relative to the elements, uncorrected (eV/atom) = 0.823
- uncorrected energy (eV/atom) = -3.170
- symmetry = Pm-3m (221)
- magnetization (μB per atom) = 0.0000

Lattice parameters (Å, degrees): 4.3432 4.3432 4.3432 90.00 90.00 90.00
Element x y z (fractional)
Rb (0.0000, 0.0000, 0.0000)
Sb (0.5000, 0.5000, 0.5000)
O (0.0000, 0.0000, 0.5000)
O (0.0000, 0.5000, 0.0000)
O (0.5000, 0.0000, 0.0000)


Record 11
## YAgP2 (PBE)

Data for an optimized crystal structure of YAgP2.

- uncorrected energy (eV/atom) = -5.610
- symmetry = P2/m (10)
- energy relative to the elements (eV per atom) = -0.58
- magnetization (μB per atom) = 0.0000

Lattice parameters (Å, degrees): 3.8221 3.8819 5.5885 90.00 90.69 90.00
Element x y z (fractional)
Y (0.0000, 0.0000, 0.0000)
Ag (0.5000, 0.0000, 0.5000)
P (0.4836, 0.5000, 0.8010)
P (0.5164, 0.5000, 0.1990)


Record 12
## RbAlCuS3 (PBE)

Data for an optimized crystal structure of RbAlCuS3.

- energy relative to the elements, uncorrected (eV/atom) = -0.739
- uncorrected energy (eV/atom) = -4.271
- symmetry = Cmcm (63)
- magnetization (μB per atom) = 0.0000

Lattice parameters (Å, degrees): 7.1117 7.1117 6.4492 90.00 90.00 126.39
Element x y z (fractional)
Rb (0.2459, 0.7541, 0.7500)
Rb (0.7541, 0.2459, 0.2500)
Al (0.4256, 0.5744, 0.2500)
Al (0.5744, 0.4256, 0.7500)
Cu (0.0635, 0.9365, 0.2500)
Cu (0.9365, 0.0635, 0.7500)
S (0.2534, 0.2534, 0.0000)
S (0.2534, 0.2534, 0.5000)
S (0.2543, 0.7457, 0.2500)
S (0.7457, 0.2543, 0.7500)
S (0.7466, 0.7466, 0.0000)
S (0.7466, 0.7466, 0.5000)


Record 13
## CaMo2Rh (PBE)

Data for an optimized crystal structure of CaMo2Rh.

- ΔE to the lowest computed polymorph (meV/atom) = 148
- uncorrected energy (eV/atom) = -7.406
- symmetry = Pmmm (47)
- energy relative to the elements (eV per atom) = 0.35
- magnetization (μB per atom) = 0.0000

Lattice parameters (Å, degrees): 3.1472 4.3884 5.0252 90.00 90.00 90.00
Element x y z (fractional)
Ca (0.0000, 0.0000, 0.0000)
Mo (0.0000, 0.5000, 0.5000)
Mo (0.5000, 0.0000, 0.5000)
Rh (0.5000, 0.5000, 0.0000)


Record 14
## InRe2Au (PBE)

Data for an optimized crystal structure of InRe2Au.

- uncorrected energy (eV/atom) = -7.060
- symmetry = F-43m (216)
- energy relative to the elements (eV per atom) = 0.67
- magnetization (μB per atom) = 0.0000

Lattice parameters (Å, degrees): 4.5813 4.5813 4.5813 60.00 60.00 60.00
Element x y z (fractional)
In (0.0000, 0.0000, 0.0000)
Re (0.2500, 0.2500, 0.2500)
Re (0.5000, 0.5000, 0.5000)
Au (0.7500, 0.7500, 0.7500)


Record 15
## PmSmGaSi (PBE)

Data for an optimized crystal structure of PmSmGaSi.

- energy relative to the elements, uncorrected (eV/atom) = -0.483
- ΔE to the lowest computed polymorph (meV/atom) = 236
- uncorrected energy (eV/atom) = -4.963
- symmetry = F-43m (216)
- magnetization (μB per atom) = 0.0000

Lattice parameters (Å, degrees): 5.1375 5.1375 5.1375 60.00 60.00 60.00
Element x y z (fractional)
Pm (0.0000, 0.0000, 0.0000)
Sm (0.5000, 0.5000, 0.5000)
Ga (0.2500, 0.2500, 0.2500)
Si (0.7500, 0.7500, 0.7500)


Record 16
## YHoSc4 (PBE)

Data for an optimized crystal structure of YHoSc4.

- ΔE to the lowest computed polymorph (meV/atom) = 1
- uncorrected energy (eV/atom) = -5.995
- symmetry = Cmcm (63)
- energy relative to the elements (eV per atom) = 0.07
- magnetization (μB per atom) = 0.0001

Lattice parameters (Å, degrees): 9.7573 9.7573 5.2944 90.00 90.00 140.48
Element x y z (fractional)
Y (0.1249, 0.8751, 0.7500)
Y (0.8751, 0.1249, 0.2500)
Ho (0.3749, 0.6251, 0.2500)
Ho (0.6251, 0.3749, 0.7500)
Sc (0.0420, 0.4587, 0.7500)
Sc (0.2096, 0.2930, 0.7500)
Sc (0.2930, 0.2096, 0.2500)
Sc (0.4587, 0.0420, 0.2500)
Sc (0.5413, 0.9580, 0.7500)
Sc (0.7070, 0.7904, 0.7500)
Sc (0.7904, 0.7070, 0.2500)
Sc (0.9580, 0.5413, 0.2500)


Record 17
## Na2InAg6 (PBE)

Data for an optimized crystal structure of Na2InAg6.

- uncorrected energy (eV/atom) = -2.424
- symmetry = Fm-3m (225)
- energy relative to the elements (eV per atom) = 0.07
- magnetization (μB per atom) = 0.0000

Lattice parameters (Å, degrees): 6.6756 6.6756 6.6756 60.00 60.00 60.00
Element x y z (fractional)
Na (0.2500, 0.2500, 0.2500)
Na (0.7500, 0.7500, 0.7500)
In (0.0000, 0.0000, 0.0000)
Ag (0.2868, 0.2868, 0.7132)
Ag (0.2868, 0.7132, 0.2868)
Ag (0.2868, 0.7132, 0.7132)
Ag (0.7132, 0.2868, 0.2868)
Ag (0.7132, 0.2868, 0.7132)
Ag (0.7132, 0.7132, 0.2868)


Record 18
## CrSn3Pd (PBE)

Data for an optimized crystal structure of CrSn3Pd.

- ΔE to the lowest computed polymorph (meV/atom) = 0
- uncorrected energy (eV/atom) = -4.963
- symmetry = Pm-3m (221)
- energy relative to the elements (eV per atom) = 0.40
- magnetization (μB per atom) = 0.0000

Lattice parameters (Å, degrees): 4.9675 4.9675 4.9675 90.00 90.00 90.00
Element x y z (fractional)
Cr (0.0000, 0.0000, 0.0000)
Sn (0.0000, 0.0000, 0.5000)
Sn (0.0000, 0.5000, 0.0000)
Sn (0.5000, 0.0000, 0.0000)
Pd (0.5000, 0.5000, 0.5000)


Record 19
## LiP2AuCl (PBE)

Data for an optimized crystal structure of LiP2AuCl.

- energy relative to the elements, uncorrected (eV/atom) = 0.377
- ΔE to the lowest computed polymorph (meV/atom) = 0
- uncorrected energy (eV/atom) = -3.194
- symmetry = P4/mmm (123)
- magnetization (μB per atom) = 0.2279

Lattice parameters (Å, degrees): 4.6325 4.6325 6.9523 90.00 90.00 90.00
Element x y z (fractional)
Li (0.0000, 0.0000, 0.0000)
P (0.0000, 0.5000, 0.5000)
P (0.5000, 0.0000, 0.5000)
Au (0.5000, 0.5000, 0.5000)
Cl (0.5000, 0.5000, 0.0000)


Record 20
## Cd6Sn (PBE)

Data for an optimized crystal structure of Cd6Sn.

- ΔE to the lowest computed polymorph (meV/atom) = 417
- uncorrected energy (eV/atom) = -0.872
- symmetry = Im-3m (229)
- energy relative to the elements (eV per atom) = 0.48
- magnetization (μB per atom) = 0.0000

Lattice parameters (Å, degrees): 6.8001 6.8001 6.8001 109.47 109.47 109.47
Element x y z (fractional)
Cd (0.2500, 0.5000, 0.7500)
Cd (0.2500, 0.7500, 0.5000)
Cd (0.5000, 0.2500, 0.7500)
Cd (0.5000, 0.7500, 0.2500)
Cd (0.7500, 0.2500, 0.5000)
Cd (0.7500, 0.5000, 0.2500)
Sn (0.0000, 0.0000, 0.0000)


Record 21
## Tl2InSbBr6 (PBE)

Data for an optimized crystal structure of Tl2InSbBr6.

- energy relative to the elements, uncorrected (eV/atom) = -0.731
- uncorrected energy (eV/atom) = -2.894
- symmetry = R3 (146)
- magnetization (μB per atom) = 0.0000

Lattice parameters (Å, degrees): 8.4131 8.4131 8.4131 57.49 57.49 57.49
Element x y z (fractional)
Tl (0.0000, 0.0000, 0.0000)
Tl (0.4943, 0.4943, 0.4943)
In (0.2042, 0.2042, 0.2042)
Sb (0.6996, 0.6996, 0.6996)
Br (0.0313, 0.4558, 0.8368)
Br (0.3664, 0.9162, 0.5673)
Br (0.4558, 0.8368, 0.0313)
Br (0.5673, 0.3664, 0.9162)
Br (0.8368, 0.0313, 0.4558)
Br (0.9162, 0.5673, 0.3664)